The following is a DFT calculation (PBE) of a relaxed Zr2BeZnB crystal.

```
data_Zr2BeZnB
_cell_length_a 4.6049
_cell_length_b 4.6049
_cell_length_c 3.9457
_cell_angle_alpha 90.00
_cell_angle_beta 90.00
_cell_angle_gamma 90.00
_space_group_name_H-M_alt 'P 4/m m m'
_space_group_IT_number 123
_space_group_name_Hall '-P 4 2'
loop_
_atom_site_label
_atom_site_fract_x
_atom_site_fract_y
_atom_site_fract_z
Zr1 0.0000 0.5000 0.0000
Be1 0.0000 0.0000 0.5000
Zn1 0.5000 0.5000 0.5000
B1 0.5000 0.5000 0.0000
```

Results
Calculated formation energy   44.8 meV/atom
DOS at the Fermi energy   2.4 states/eV per cell

***

The following is a DFT calculation (PBE) of a relaxed Zr2BeB2 crystal.

```
data_Zr2BeB2
_cell_length_a 6.1031
_cell_length_b 6.1031
_cell_length_c 3.4357
_cell_angle_alpha 90.00
_cell_angle_beta 90.00
_cell_angle_gamma 90.00
_space_group_name_H-M_alt 'P 4/m b m'
_space_group_IT_number 127
_space_group_name_Hall '-P 4 2ab'
loop_
_atom_site_label
_atom_site_fract_x
_atom_site_fract_y
_atom_site_fract_z
Zr1 0.1852 0.3148 0.0000
Be1 0.0000 0.0000 0.5000
B1 0.1011 0.6011 0.5000
```

Results
Calculated formation energy   -536.5 meV/atom
E above lowest polymorph   0 meV/atom
DOS at the Fermi energy   1.6 states/eV per cell

***

The following is a DFT calculation (PBE) of a relaxed ZrBeB crystal.

```
data_ZrBeB
_cell_length_a 3.4225
_cell_length_b 3.4225
_cell_length_c 3.4824
_cell_angle_alpha 90.00
_cell_angle_beta 90.00
_cell_angle_gamma 120.00
_space_group_name_H-M_alt 'P -6 m 2'
_space_group_IT_number 187
_space_group_name_Hall 'P -6 2'
loop_
_atom_site_label
_atom_site_fract_x
_atom_site_fract_y
_atom_site_fract_z
Zr1 0.0000 0.0000 0.0000
Be1 0.3333 0.6667 0.5000
B1 0.6667 0.3333 0.5000
```

Results
Calculated formation energy   -586.9 meV/atom
E above lowest polymorph   0 meV/atom
DOS at the Fermi energy   1.2 states/eV per cell

***

The following is a DFT calculation (PBE) of a relaxed Zr2Be2B crystal.

```
data_Zr2Be2B
_cell_length_a 2.9291
_cell_length_b 2.9291
_cell_length_c 16.2347
_cell_angle_alpha 90.00
_cell_angle_beta 90.00
_cell_angle_gamma 90.00
_space_group_name_H-M_alt 'I 4/m m m'
_space_group_IT_number 139
_space_group_name_Hall '-I 4 2'
loop_
_atom_site_label
_atom_site_fract_x
_atom_site_fract_y
_atom_site_fract_z
Zr1 0.0000 0.0000 0.0981
Be1 0.0000 0.5000 0.2500
B1 0.0000 0.0000 0.5000
```

Results
Calculated formation energy   191.3 meV/atom
E above lowest polymorph   0 meV/atom
DOS at the Fermi energy   8.1 states/eV per cell